Entry from the Alexandria database: a geometry-optimized MnI2Br structure (PBE-GGA).

Unit cell a=7.2123 b=7.2123 c=7.2123 alpha=118.99 beta=118.99 gamma=91.76
Last column: nearest neighbours and their distance in Å.
Fractional coordinates of all 8 atoms:
Mn 0.0000 0.0000 0.0000  4 I 2.47
Mn 0.7500 0.2500 0.5000  4 I 2.47
I 0.0215 0.6250 0.8965  2 Mn 2.47
I 0.3750 0.2715 0.3965  2 Mn 2.47
I 0.7285 0.1250 0.1035  2 Mn 2.47
I 0.8750 0.9785 0.6035  2 Mn 2.47
Br 0.2500 0.7500 0.5000  4 I 3.41
Br 0.5000 0.5000 0.0000  4 I 3.41

Results
crystal system	tetragonal
energy above the most stable polymorph in this dataset	686	meV/atom
total magnetization	0.0	μB/cell
space group	I-42d (122)
uncorrected formation energy	0.29	eV/atom